Record 1
A plane-wave DFT calculation with SCAN was carried out for a PBEsol-optimized structure of PtAu2.

a = 2.8234 Å, b = 5.5289 Å, c = 6.7898 Å
α = 106.86°, β = 90.00°, γ = 104.79°
Fractional coordinates of all 6 atoms:
1 Pt 0.6946 0.3892 0.6263
2 Pt 0.3054 0.6108 0.3737
3 Au 0.3564 0.7128 0.9628
4 Au 0.6436 0.2872 0.0372
5 Au 0.9796 0.9593 0.6988
6 Au 0.0204 0.0407 0.3012

- ΔE to the lowest computed polymorph (eV/f.u.) = 0.04
- ΔH_f (0 K) (eV per atom) = 0.0751
- SG = No. 12
- V (Å³/f.u.) = 49

Record 2
A plane-wave DFT calculation with SCAN was carried out for a PBEsol-optimized structure of Mn5Si.

a = 4.0449 Å, b = 4.2344 Å, c = 4.2344 Å
α = 120.00°, β = 90.00°, γ = 90.00°
Site moments in Bohr magnetons follow the coordinates.
Fractional coordinates of all 6 atoms:
1 Mn 0.0000 0.0000 0.6776  1.63
2 Mn 0.0000 0.6776 0.0000  1.63
3 Mn 0.5000 0.6667 0.3333  -2.49
4 Mn 0.0000 0.3224 0.3224  1.63
5 Mn 0.5000 0.3333 0.6667  -2.49
6 Si 0.5000 0.0000 0.0000  0.04

- SG = No. 189
- V (Å³/f.u.) = 63
- energy relative to the elements, uncorrected (eV per atom) = -0.096

Record 3
A plane-wave DFT calculation with SCAN was carried out for a PBEsol-optimized structure of SrYSb2.

a = 4.0603 Å, b = 5.3174 Å, c = 5.3174 Å
α = 90.00°, β = 90.00°, γ = 90.00°
Fractional coordinates of all 4 atoms:
1 Sb 0.0000 0.5000 0.0000
2 Sb 0.0000 0.0000 0.5000
3 Sr 0.5000 0.5000 0.5000
4 Y 0.5000 0.0000 0.0000

- SG = No. 123
- V (Å³/f.u.) = 115
- energy relative to the elements, uncorrected (eV per atom) = -0.843

Record 4
A plane-wave DFT calculation with SCAN was carried out for a PBEsol-optimized structure of AcZn2In.

a = 5.0679 Å, b = 5.0679 Å, c = 5.0679 Å
α = 60.00°, β = 60.00°, γ = 60.00°
Fractional coordinates of all 4 atoms:
1 In 0.0000 0.0000 0.0000
2 Zn 0.2500 0.2500 0.2500
3 Zn 0.7500 0.7500 0.7500
4 Ac 0.5000 0.5000 0.5000

- ΔH_f (0 K) (eV per atom) = -0.3190
- SG = No. 225
- V (Å³/f.u.) = 92